## Pm2SmHo (PBE-GGA)

Data for an optimized crystal structure of Pm2SmHo.

The structure in POSCAR format:
```
Pm2SmHo
1.0
8.128 0.000 0.000
0.000 8.128 0.000
0.000 0.000 8.128
Pm Sm Ho
8 4 4
direct
0.250 0.250 0.250
0.250 0.250 0.750
0.250 0.750 0.250
0.250 0.750 0.750
0.750 0.250 0.250
0.750 0.250 0.750
0.750 0.750 0.250
0.750 0.750 0.750
0.000 0.000 0.000
0.000 0.500 0.500
0.500 0.000 0.500
0.500 0.500 0.000
0.000 0.000 0.500
0.000 0.500 0.000
0.500 0.000 0.000
0.500 0.500 0.500
```

Results
As for the energy relative to the lowest polymorph listed for this composition: 0.121 eV/atom. The value obtained for the total magnetization is 0.0009 μB per atom. The formation energy is 135 meV/atom.